Entry 1:
La2PbAu2 (PBE, optimized geometry); E_form = -566 meV/atom
1.0
-3.760 -3.857 -2.179
4.331 -3.802 -0.742
-0.435 -5.454 2.659
La Au Pb
2 2 1
Direct
0.750 0.250 0.500
0.250 0.750 0.500
0.646 0.646 0.708
0.354 0.354 0.292
0.000 0.000 0.000



Entry 2:
MnSbIN2 (PBE, optimized geometry); relative energy among the computed polymorphs = 0 meV/atom; E_form (uncorrected) = 1.278 eV per atom
1.0
3.991 0.000 0.000
0.000 3.991 0.000
0.000 0.000 5.211
N I Sb Mn
2 1 1 1
Direct
0.500 0.000 0.000
0.000 0.500 0.000
0.000 0.000 0.500
0.500 0.500 0.500
0.000 0.000 0.000



Entry 3:
BaPaTe4Au (PBE, optimized geometry); E_form (uncorrected) = -0.848 eV per atom
1.0
7.810 0.000 -0.112
0.000 6.414 0.000
-3.209 0.000 9.170
Au Te Ba Pa
2 8 2 2
Direct
0.736 0.250 0.700
0.264 0.750 0.300
0.968 0.491 0.287
0.032 0.991 0.713
0.968 0.009 0.287
0.571 0.250 0.400
0.553 0.250 0.885
0.429 0.750 0.600
0.447 0.750 0.115
0.032 0.509 0.713
0.770 0.750 0.938
0.230 0.250 0.062
0.721 0.750 0.438
0.279 0.250 0.562



Entry 4:
LaFeSe2 (PBE, optimized geometry); relative energy among the computed polymorphs = 776 meV/atom; E_form (uncorrected) = -0.236 eV per atom
1.0
4.982 0.000 0.000
2.491 4.314 0.000
2.491 1.438 4.068
La Se Fe
1 2 1
Direct
0.750 0.750 0.750
0.000 0.000 0.000
0.250 0.250 0.250
0.500 0.500 0.500



Entry 5:
Li2SmPt2 (PBE, optimized geometry); E_form = -693 meV/atom
1.0
4.537 0.958 -1.714
-0.188 4.633 -1.714
-1.860 -2.392 5.616
Li Sm Pt
2 1 2
Direct
0.190 0.810 0.500
0.810 0.190 0.500
0.000 0.000 0.000
0.500 0.500 0.206
0.500 0.500 0.794



Entry 6:
PrEu3 (PBE, optimized geometry); relative energy among the computed polymorphs = 34 meV/atom; E_form = 93 meV/atom
1.0
-3.647 -2.321 -4.307
-0.192 -6.031 -0.911
-4.966 -3.169 1.590
Eu Pr
3 1
Direct
0.000 0.000 0.000
0.750 0.750 0.750
0.250 0.250 0.250
0.500 0.500 0.500



Entry 7:
CaMnZnIn2 (PBE, optimized geometry); E_form = 55 meV/atom
1.0
5.021 0.000 0.000
0.000 4.849 0.000
0.000 0.000 5.021
In Ca Zn Mn
2 1 1 1
Direct
0.500 0.000 0.000
0.000 0.000 0.500
0.500 0.500 0.500
0.000 0.500 0.000
0.000 0.000 0.000



Entry 8:
FeGe2Mo (PBE, optimized geometry); relative energy among the computed polymorphs = 13 meV/atom; E_form = 143 meV/atom
1.0
0.000 3.046 3.046
3.046 0.000 3.046
3.046 3.046 0.000
Ge Mo Fe
2 1 1
Direct
0.250 0.250 0.250
0.750 0.750 0.750
0.500 0.500 0.500
0.000 0.000 0.000



Electronic total energy readings, ordered: -4.590; -5.021; -4.743; -5.326; -4.819; -8.808; -3.529; -6.989 eV per atom